(a)
DFT (PBE-GGA) results for a geometry-optimized TmBH structure.

Cell: 3.8013 3.8013 6.7170 Å, 80.92 80.92 50.65°
Closest atoms and distances in Å follow each position.
Element x y z (fractional)
1 Tm 0.7997 0.7997 0.7233  3 H 2.14-2.16
2 Tm 0.2003 0.2003 0.2767  3 H 2.14-2.16
3 B 0.2519 0.7481 0.0000  2 B 1.61-1.64
4 B 0.7481 0.2519 0.0000  2 B 1.61-1.64
5 H 0.8465 0.8465 0.3975  3 Tm 2.14-2.16, 2 H 2.38
6 H 0.1535 0.1535 0.6025  3 Tm 2.14-2.16, 2 H 2.38

Output
SG: C2/m (12)
N(E_F) (states/eV/atom): 0.32
Calculated density (g/cm³): 8.1
Calculated volume (Å³/cell): 74
Total magnetic moment (μB/f.u.): 0.0

***

(b)
DFT (PBE-GGA) results for a geometry-optimized TmBH structure.

Cell: 3.2418 3.5884 6.2149 Å, 106.79 90.00 90.00°
Closest atoms and distances in Å follow each position.
Element x y z (fractional)
1 H 0.7500 0.7534 0.5073  4 Tm 2.15-2.23
2 H 0.2500 0.2466 0.4927  4 Tm 2.15-2.23
3 B 0.7500 0.0248 0.0481  2 B 1.72
4 B 0.2500 0.9752 0.9519  2 B 1.72
5 Tm 0.7500 0.3661 0.7304  4 H 2.15-2.23
6 Tm 0.2500 0.6339 0.2696  4 H 2.15-2.23

Output
SG: P2_1/m (11)
N(E_F) (states/eV/atom): 0.40
Calculated density (g/cm³): 8.7
Calculated volume (Å³/cell): 69
Total magnetic moment (μB/f.u.): 0.0

***

Of them, the most stable is (b) and the least stable is (a).

***

(a)
DFT (PBE-GGA) results for a geometry-optimized TmB2H8 structure.

Cell: 7.4753 5.5079 6.8692 Å, 68.29 57.04 47.27°
Closest atoms and distances in Å follow each position.
Element x y z (fractional)
1 H 0.8241 0.7592 0.6149  1 B 1.24
2 H 0.9157 0.7594 0.8852  1 B 1.24
3 H 0.4490 0.9953 0.8618  1 B 1.23
4 H 0.1759 0.2408 0.3851  1 B 1.24
5 H 0.3110 0.4966 0.1385  1 B 1.23
6 H 0.0539 0.9966 0.6385  1 B 1.23
7 H 0.9461 0.0034 0.3615  1 B 1.23
8 H 0.1982 0.7408 0.8851  1 B 1.24
9 H 0.5510 0.0047 0.1382  1 B 1.23
10 H 0.8018 0.2592 0.1149  1 B 1.24
11 H 0.6939 0.4953 0.3618  1 B 1.23
12 H 0.3061 0.5047 0.6382  1 B 1.23
13 H 0.4397 0.2594 0.3852  1 B 1.24
14 H 0.6890 0.5034 0.8615  1 B 1.23
15 H 0.5603 0.7406 0.6148  1 B 1.24
16 H 0.0843 0.2406 0.1148  1 B 1.24
17 B 0.3689 0.2503 0.2627  4 H 1.23-1.24
18 B 0.6311 0.7497 0.7373  4 H 1.23-1.24
19 B 0.1180 0.7503 0.7627  4 H 1.23-1.24
20 B 0.8820 0.2497 0.2373  4 H 1.23-1.24
21 Tm 0.1247 0.2500 0.7500  12 H 2.25-2.36
22 Tm 0.8753 0.7500 0.2500  12 H 2.25-2.36

Output
SG: C2/c (15)
N(E_F) (states/eV/atom): 0.17
Calculated density (g/cm³): 3.8
Calculated volume (Å³/cell): 174
Total magnetic moment (μB/f.u.): 0.0

***

(b)
DFT (PBE-GGA) results for a geometry-optimized TmB2H8 structure.

Cell: 3.8136 7.0827 7.0827 Å, 33.94 78.68 78.68°
Closest atoms and distances in Å follow each position.
Element x y z (fractional)
1 B 0.5818 0.8665 0.8665  4 H 1.20-1.25
2 B 0.4182 0.1335 0.1335  4 H 1.20-1.25
3 H 0.1734 0.2049 0.2049  1 B 1.20
4 H 0.5874 0.6744 0.1659  1 B 1.25
5 H 0.4126 0.3256 0.8341  1 B 1.25
6 H 0.5874 0.1659 0.6744  1 B 1.25
7 H 0.7000 0.1622 0.1622  1 B 1.22
8 H 0.3000 0.8378 0.8378  1 B 1.22
9 H 0.8266 0.7951 0.7951  1 B 1.20
10 H 0.4126 0.8341 0.3256  1 B 1.25
11 Tm 0.0000 0.0000 0.0000  10 H 2.26-2.50

Output
SG: C2/m (12)
N(E_F) (states/eV/atom): 0.11
Calculated density (g/cm³): 3.2
Calculated volume (Å³/cell): 105
Total magnetic moment (μB/f.u.): 0.5

***

Of them, the most stable is (a) and the least stable is (b).

***

(a)
DFT (PBE-GGA) results for a geometry-optimized UBH structure.

Cell: 3.8614 3.8614 3.8614 Å, 60.00 60.00 60.00°
Closest atoms and distances in Å follow each position.
Element x y z (fractional)
1 H 0.5000 0.5000 0.5000  4 U 2.36
2 U 0.2500 0.2500 0.2500  4 B 2.36, 4 H 2.36
3 B 0.0000 0.0000 0.0000  4 U 2.36

Output
SG: F-43m (216)
Calculated density (g/cm³): 10.2
Calculated volume (Å³/cell): 41
Total magnetic moment (μB/f.u.): 0.1

***

(b)
DFT (PBE-GGA) results for a geometry-optimized UBH structure.

Cell: 2.9035 3.7067 3.7067 Å, 120.00 90.00 90.00°
Closest atoms and distances in Å follow each position.
Element x y z (fractional)
1 H 0.1665 0.0000 0.0000  3 U 2.14
2 U 0.1668 0.6667 0.3333  3 H 2.14
3 B 0.6666 0.3333 0.6667  6 U 2.59, 6 H 2.59

Output
SG: P-6m2 (187)
N(E_F) (states/eV/atom): 0.86
Calculated density (g/cm³): 12.0
Calculated volume (Å³/cell): 35
Total magnetic moment (μB/f.u.): 0.0

***

(c)
DFT (PBE-GGA) results for a geometry-optimized UBH structure.

Cell: 3.5385 3.5385 3.9443 Å, 116.65 116.65 90.00°
Closest atoms and distances in Å follow each position.
Element x y z (fractional)
1 U 0.9438 0.9438 0.8876  5 H 2.35-2.60, 5 B 2.46-2.57
2 B 0.3477 0.3477 0.6955  1 H 1.29
3 H 0.5585 0.5585 0.1170  1 B 1.29

Output
SG: I4mm (107)
N(E_F) (states/eV/atom): 1.63
Calculated density (g/cm³): 10.9
Calculated volume (Å³/cell): 38
Total magnetic moment (μB/f.u.): 2.0

***

(d)
DFT (PBE-GGA) results for a geometry-optimized UBH structure.

Cell: 4.2251 5.9946 5.0606 Å, 90.00 90.00 90.00°
Closest atoms and distances in Å follow each position.
Element x y z (fractional)
1 B 0.7500 0.7370 0.5106  1 H 1.42
2 B 0.2500 0.2370 0.9894  1 H 1.42
3 B 0.7500 0.7630 0.0106  1 H 1.42
4 B 0.2500 0.2630 0.4894  1 H 1.42
5 H 0.7500 0.9773 0.1293  1 B 1.42
6 H 0.2500 0.0227 0.8707  1 B 1.42
7 H 0.2500 0.4773 0.3707  1 B 1.42
8 H 0.7500 0.5227 0.6293  1 B 1.42
9 U 0.7500 0.3736 0.2311  4 H 2.20-2.43
10 U 0.7500 0.1264 0.7311  4 H 2.20-2.43
11 U 0.2500 0.8736 0.2689  4 H 2.20-2.43
12 U 0.2500 0.6264 0.7689  4 H 2.20-2.43

Output
SG: Pnma (62)
N(E_F) (states/eV/atom): 1.24
Calculated density (g/cm³): 12.9
Calculated volume (Å³/cell): 128
Total magnetic moment (μB/f.u.): 0.3

***

Of them, the most stable is (d) and the least stable is (a).

***

(a)
DFT (PBE-GGA) results for a geometry-optimized V3BH structure.

Cell: 3.0575 5.3013 6.2324 Å, 93.06 90.03 106.71°
Closest atoms and distances in Å follow each position.
Element x y z (fractional)
1 B 0.9189 0.3381 0.4440  1 B 1.75
2 B 0.0811 0.6619 0.5560  1 B 1.75
3 V 0.1455 0.7910 0.9206  1 H 1.73
4 V 0.7292 0.9586 0.6468  1 H 1.79
5 V 0.2708 0.0414 0.3532  1 H 1.79
6 V 0.8545 0.2090 0.0794  1 H 1.73
7 V 0.4579 0.4143 0.7236  2 H 1.80
8 V 0.5421 0.5857 0.2764  2 H 1.80
9 H 0.8824 0.2628 0.8073  4 V 1.73-1.80
10 H 0.1176 0.7372 0.1927  4 V 1.73-1.80

Output
SG: C2/m (12)
N(E_F) (states/eV/atom): 0.53
Calculated density (g/cm³): 5.7
Calculated volume (Å³/cell): 97
Total magnetic moment (μB/f.u.): 0.0

***

(b)
DFT (PBE-GGA) results for a geometry-optimized V3BH structure.

Cell: 3.6321 3.6321 3.6321 Å, 90.00 90.00 90.00°
Closest atoms and distances in Å follow each position.
Element x y z (fractional)
1 V 0.0000 0.5000 0.0000  2 H 1.82
2 V 0.5000 0.0000 0.0000  2 H 1.82
3 V 0.0000 0.0000 0.5000  2 H 1.82
4 B 0.5000 0.5000 0.5000  12 V 2.57
5 H 0.0000 0.0000 0.0000  6 V 1.82

Output
SG: Pm-3m (221)
N(E_F) (states/eV/atom): 1.00
Calculated density (g/cm³): 5.7
Calculated volume (Å³/cell): 48
Total magnetic moment (μB/f.u.): 0.0

***

Of them, the most stable is (a) and the least stable is (b).

***

(a)
DFT (PBE-GGA) results for a geometry-optimized V2BH2 structure.

Cell: 4.8574 4.8574 4.4961 Å, 113.76 113.76 104.87°
Closest atoms and distances in Å follow each position.
Element x y z (fractional)
1 H 0.2609 0.0107 0.5212  1 H 1.54
2 H 0.5107 0.7609 0.0212  1 H 1.54
3 H 0.4893 0.2391 0.9788  1 H 1.54
4 H 0.7391 0.9893 0.4788  1 H 1.54
5 V 0.8587 0.6413 0.2500  2 H 1.74
6 V 0.1413 0.3587 0.7500  2 H 1.74
7 V 0.6091 0.8909 0.7500  2 H 1.75
8 V 0.3909 0.1091 0.2500  2 H 1.75
9 B 0.1249 0.3751 0.2500  6 V 2.05-2.25
10 B 0.8751 0.6249 0.7500  6 V 2.05-2.25

Output
SG: C2/c (15)
N(E_F) (states/eV/atom): 0.49
Calculated density (g/cm³): 5.0
Calculated volume (Å³/cell): 77
Total magnetic moment (μB/f.u.): 0.0

***

(b)
DFT (PBE-GGA) results for a geometry-optimized V2BH2 structure.

Cell: 2.7767 2.7767 5.2213 Å, 74.58 74.58 90.00°
Closest atoms and distances in Å follow each position.
Element x y z (fractional)
1 H 0.2500 0.7500 0.5000  4 V 1.86, 4 H 1.96
2 H 0.7500 0.2500 0.5000  4 V 1.86, 4 H 1.96
3 V 0.6227 0.6227 0.7546  4 H 1.86
4 V 0.3773 0.3773 0.2454  4 H 1.86
5 B 0.0000 0.0000 0.0000  8 V 2.29

Output
SG: I4/mmm (139)
N(E_F) (states/eV/atom): 0.43
Calculated density (g/cm³): 5.1
Calculated volume (Å³/cell): 37
Total magnetic moment (μB/f.u.): 0.0

***

Of them, the most stable is (b) and the least stable is (a).